{
  "formula": "La2AgPIr",
  "functional": "PBE-GGA",
  "state": "relaxed",
  "lattice_angstrom": [[-3.2515, 2.6274, 3.6595], [-3.5808, -2.1897, -1.6094], [0.8420, -4.0792, 3.6768]],
  "species": ["La", "La", "Ag", "P", "Ir"],
  "frac_coords": [[0.0000, 0.0000, 0.5000], [0.5000, 0.0000, 0.0000], [0.0000, 0.5000, 0.0000], [0.0000, 0.0000, 0.0000], [0.5000, 0.5000, 0.5000]],
  "delta_e_f_ev_per_atom": -0.159,
  "total_energy_ev_per_atom": -5.555,
  "magmom_total_mub_per_fu": 0.00,
  "crystal_system": "tetragonal"
}